Record 1
Ta14Os | SCAN | PBEsol geometry

Structure (CIF):
```
data_Ta14Os
_chemical_formula_sum 'Ta28 Os2'
_symmetry_space_group_name_H-M 'P 42/m n m'
_symmetry_Int_Tables_number 136
_symmetry_space_group_name_Hall '-P 4n 2n'
_cell_length_a 10.022
_cell_length_b 10.022
_cell_length_c 5.291
_cell_angle_alpha 90.00
_cell_angle_beta 90.00
_cell_angle_gamma 90.00
loop_
_atom_site_label
_atom_site_type_symbol
_atom_site_fract_x
_atom_site_fract_y
_atom_site_fract_z
_atom_site_occupancy
Ta1 Ta 0.036 0.370 0.000 1
Ta2 Ta 0.066 0.257 0.500 1
Ta3 Ta 0.102 0.102 0.000 1
Ta4 Ta 0.181 0.819 0.248 1
Os1 Os 0.000 0.000 0.500 1
```

Results
Its energy of formation is -89 meV per atom.

=====

Record 2
CrOsRu2I | SCAN | PBEsol geometry

Structure (CIF):
```
data_CrOsRu2I
_chemical_formula_sum 'Cr1 Os1 Ru2 I1'
_symmetry_space_group_name_H-M 'P 4/m m m'
_symmetry_Int_Tables_number 123
_symmetry_space_group_name_Hall '-P 4 2'
_cell_length_a 4.425
_cell_length_b 4.425
_cell_length_c 4.495
_cell_angle_alpha 90.00
_cell_angle_beta 90.00
_cell_angle_gamma 90.00
loop_
_atom_site_label
_atom_site_type_symbol
_atom_site_fract_x
_atom_site_fract_y
_atom_site_fract_z
_atom_site_occupancy
Cr1 Cr 0.000 0.000 0.000 1
Os1 Os 0.000 0.000 0.500 1
Ru1 Ru 0.000 0.500 0.000 1
I1 I 0.500 0.500 0.500 1
```

Results
The calculation puts the uncorrected formation energy at 8.80 eV/f.u.

=====

Record 3
SrMgMn2 | SCAN | PBEsol geometry

Structure (CIF):
```
data_SrMgMn2
_chemical_formula_sum 'Sr2 Mg2 Mn4'
_symmetry_space_group_name_H-M 'I -4 m 2'
_symmetry_Int_Tables_number 119
_symmetry_space_group_name_Hall 'I -4 -2'
_cell_length_a 5.013
_cell_length_b 5.013
_cell_length_c 7.058
_cell_angle_alpha 90.00
_cell_angle_beta 90.00
_cell_angle_gamma 90.00
loop_
_atom_site_label
_atom_site_type_symbol
_atom_site_fract_x
_atom_site_fract_y
_atom_site_fract_z
_atom_site_occupancy
Sr1 Sr 0.000 0.000 0.000 1
Mg1 Mg 0.000 0.500 0.250 1
Mn1 Mn 0.000 0.000 0.500 1
Mn2 Mn 0.000 0.500 0.750 1
```

Results
Its energy of formation is 278 meV per atom.

=====

Number 1: raw total energy -2010.8 eV for the cell shown. Number 2: raw total energy -187.9 eV for the cell shown. Number 3: raw total energy -125.3 eV for the cell shown.